Entry 1:
Crystalline KMg14Cd at its relaxed geometry. Source: Alexandria, functional PBE.

Calculated values
Energy of formation   0.07 eV/atom
Space-group type   No. 187
Energy above the lowest structure with this stoichiometry   7 meV per atom

Cell lengths 6.490, 6.490, 10.702 Å; angles 90.00, 90.00, 120.00 degrees
Atoms (fractional coordinates):
Mg (0.504, 0.007, 0.500)
Mg (0.495, 0.505, 0.000)
Mg (0.993, 0.496, 0.500)
Mg (0.010, 0.505, 0.000)
Mg (0.170, 0.340, 0.737)
Mg (0.170, 0.830, 0.737)
Mg (0.170, 0.340, 0.263)
Mg (0.667, 0.333, 0.238)
Mg (0.504, 0.496, 0.500)
Mg (0.495, 0.990, 0.000)
Mg (0.660, 0.830, 0.263)
Mg (0.660, 0.830, 0.737)
Mg (0.170, 0.830, 0.263)
Mg (0.667, 0.333, 0.762)
K (0.000, 0.000, 0.000)
Cd (0.000, 0.000, 0.500)



Entry 2:
Crystalline PaAg3Br2Cl6 at its relaxed geometry. Source: Alexandria, functional PBE.

Calculated values
Space-group type   No. 12
Energy relative to the elements, uncorrected   -1.094 eV per atom

Cell lengths 6.626, 8.061, 8.578 Å; angles 118.03, 106.17, 90.00 degrees
Atoms (fractional coordinates):
Ag (0.000, 0.500, 0.000)
Ag (0.500, 0.000, 0.500)
Ag (0.500, 0.500, 0.500)
Cl (0.263, 0.676, 0.805)
Cl (0.270, 0.111, 0.221)
Cl (0.730, 0.889, 0.779)
Cl (0.737, 0.870, 0.195)
Cl (0.737, 0.324, 0.195)
Cl (0.263, 0.130, 0.805)
Br (0.257, 0.667, 0.335)
Br (0.743, 0.333, 0.665)
Pa (0.500, 0.000, 0.000)



Entry 3:
Crystalline TeRu at its relaxed geometry. Source: Alexandria, functional PBE.

Calculated values
Space-group type   No. 225
Energy relative to the elements, uncorrected   0.473 eV per atom

Cell lengths 5.440, 5.440, 5.440 Å; angles 90.00, 90.00, 90.00 degrees
Atoms (fractional coordinates):
Ru (0.000, 0.000, 0.000)
Ru (0.500, 0.500, 0.000)
Ru (0.000, 0.500, 0.500)
Ru (0.500, 0.000, 0.500)
Te (0.000, 0.500, 0.000)
Te (0.500, 0.500, 0.500)
Te (0.000, 0.000, 0.500)
Te (0.500, 0.000, 0.000)



Entry 4:
Crystalline BaBe2Co2 at its relaxed geometry. Source: Alexandria, functional PBE.

Calculated values
Energy of formation   0.27 eV/atom
Space-group type   No. 139
Energy above the lowest structure with this stoichiometry   0 meV per atom

Cell lengths 4.131, 4.131, 6.202 Å; angles 70.55, 70.55, 90.00 degrees
Atoms (fractional coordinates):
Be (0.250, 0.750, 0.500)
Be (0.750, 0.250, 0.500)
Co (0.735, 0.735, 0.529)
Co (0.265, 0.265, 0.471)
Ba (0.000, 0.000, 0.000)



Entry 5:
Crystalline ZrAlNi at its relaxed geometry. Source: Alexandria, functional PBE.

Calculated values
Energy of formation   -0.49 eV/atom
Space-group type   No. 2

Cell lengths 5.523, 9.429, 5.513 Å; angles 127.40, 106.25, 99.03 degrees
Atoms (fractional coordinates):
Ni (0.133, 0.573, 0.917)
Ni (0.868, 0.996, 0.128)
Ni (0.132, 0.004, 0.872)
Ni (0.867, 0.427, 0.083)
Zr (0.334, 0.747, 0.581)
Zr (0.666, 0.253, 0.419)
Zr (0.294, 0.284, 0.851)
Zr (0.706, 0.716, 0.149)
Al (0.264, 0.909, 0.231)
Al (0.802, 0.634, 0.592)
Al (0.736, 0.091, 0.769)
Al (0.198, 0.366, 0.408)



Entry 6:
Crystalline TmThTe at its relaxed geometry. Source: Alexandria, functional PBE.

Calculated values
Space-group type   No. 12
Energy above the lowest structure with this stoichiometry   243 meV per atom
Energy relative to the elements, uncorrected   -0.434 eV per atom

Cell lengths 3.962, 5.597, 11.730 Å; angles 103.80, 96.99, 90.00 degrees
Atoms (fractional coordinates):
Tm (0.071, 0.349, 0.697)
Tm (0.929, 0.651, 0.303)
Te (0.108, 0.900, 0.800)
Te (0.892, 0.100, 0.200)
Th (0.525, 0.784, 0.569)
Th (0.475, 0.216, 0.431)



| no. | E_tot (eV per atom) | volume (Å³/cell) |
| --- | --- | --- |
| 1 | -1.447 | 390.39 |
| 2 | -3.801 | 383.81 |
| 3 | -5.736 | 160.97 |
| 4 | -4.451 | 93.35 |
| 5 | -6.516 | 197.80 |
| 6 | -5.445 | 250.60 |